Record 1
This record from the Alexandria database describes a geometry-optimized PmY2ScBi4 structure. The functional is PBE.

a b c (Å): 7.7182 4.4622 7.7277
angles (deg): 90.00 109.49 90.00
Sites, in units of the cell vectors:
Pm 0.0000 0.0000 0.0000
Y 0.0000 0.5000 0.5000
Y 0.5000 0.0000 0.5000
Sc 0.5000 0.5000 0.0000
Bi 0.2592 0.5000 0.2492
Bi 0.2620 0.0000 0.7577
Bi 0.7380 0.0000 0.2423
Bi 0.7408 0.5000 0.7508

## Properties
Its density is 7.97 Mg/m³. As for the symmetry: P2/m, No. 10. The total magnetization is 0.000 μB/atom. As for the calculated formation energy: -0.830 eV/atom.

Record 2
This record from the Alexandria database describes a geometry-optimized Pm3Bi3Se structure. The functional is PBE.

a b c (Å): 8.4522 8.4522 7.3581
angles (deg): 91.24 91.24 113.27
Sites, in units of the cell vectors:
Pm 0.0700 0.0700 0.2346
Pm 0.1659 0.4762 0.7081
Pm 0.4762 0.1659 0.7081
Pm 0.5238 0.8341 0.2919
Pm 0.8341 0.5238 0.2919
Pm 0.9300 0.9300 0.7654
Bi 0.1786 0.8214 0.5000
Bi 0.2096 0.7904 0.0000
Bi 0.4090 0.4090 0.3283
Bi 0.5910 0.5910 0.6717
Bi 0.7904 0.2096 0.0000
Bi 0.8214 0.1786 0.5000
Se 0.2321 0.2321 0.9130
Se 0.7679 0.7679 0.0870

## Properties
Its density is 7.85 Mg/m³. As for the symmetry: C2/m, No. 12. The total magnetization is 0.000 μB/atom. The formation energy from raw total energies is -0.86 eV/atom.

Record 3
This record from the Alexandria database describes a geometry-optimized Pm5BiSe4 structure. The functional is PBE.

a b c (Å): 7.4197 7.4197 10.4705
angles (deg): 118.13 118.13 33.40
Sites, in units of the cell vectors:
Pm 0.0000 0.0000 0.0000
Pm 0.2056 0.2056 0.8141
Pm 0.3924 0.3924 0.6093
Pm 0.6076 0.6076 0.3907
Pm 0.7944 0.7944 0.1859
Bi 0.0000 0.0000 0.5000
Se 0.2043 0.2043 0.2946
Se 0.4052 0.4052 0.1039
Se 0.5948 0.5948 0.8961
Se 0.7957 0.7957 0.7054

## Properties
Its density is 7.51 Mg/m³. As for the symmetry: C2/m, No. 12. The total magnetization is 0.000 μB/atom. The formation energy from raw total energies is -1.64 eV/atom.

Record 4
This record from the Alexandria database describes a geometry-optimized Pm2BiSe structure. The functional is PBE.

a b c (Å): 3.6823 3.6823 8.0164
angles (deg): 90.00 90.00 90.00
Sites, in units of the cell vectors:
Pm 0.0000 0.0000 0.2291
Pm 0.0000 0.0000 0.7709
Bi 0.5000 0.5000 0.5000
Se 0.5000 0.5000 0.0000

## Properties
Its density is 8.83 Mg/m³. As for the symmetry: P4/mmm, No. 123. The value obtained for the energy relative to the lowest polymorph listed for this composition is 245 meV/atom. The total magnetization is 0.000 μB/atom. The formation energy from raw total energies is -1.12 eV/atom.

Record 5
This record from the Alexandria database describes a geometry-optimized Pm2BiSe structure. The functional is PBE.

a b c (Å): 7.8970 7.8970 7.8970
angles (deg): 31.76 31.76 31.76
Sites, in units of the cell vectors:
Pm 0.0000 0.0000 0.0000
Pm 0.1832 0.1832 0.1832
Bi 0.4248 0.4248 0.4248
Se 0.5945 0.5945 0.5945

## Properties
Its density is 7.92 Mg/m³. As for the symmetry: R3m, No. 160. The value obtained for the energy relative to the lowest polymorph listed for this composition is 61 meV/atom. The total magnetization is 0.000 μB/atom. The formation energy from raw total energies is -1.31 eV/atom.

Record 6
This record from the Alexandria database describes a geometry-optimized PmBiSe3 structure. The functional is PBE.

a b c (Å): 8.2885 4.1659 8.4068
angles (deg): 90.00 91.34 90.00
Sites, in units of the cell vectors:
Pm 0.1158 0.2500 0.2824
Pm 0.8842 0.7500 0.7176
Bi 0.3495 0.7500 0.8313
Bi 0.6505 0.2500 0.1687
Se 0.1157 0.2500 0.8997
Se 0.1814 0.7500 0.5204
Se 0.3767 0.7500 0.1732
Se 0.6233 0.2500 0.8268
Se 0.8186 0.2500 0.4796
Se 0.8843 0.7500 0.1003

## Properties
Its density is 6.76 Mg/m³. As for the symmetry: P2_1/m, No. 11. The value obtained for the energy relative to the lowest polymorph listed for this composition is 0 meV/atom. The total magnetization is 0.000 μB/atom. The formation energy from raw total energies is -1.10 eV/atom.

Record 7
This record from the Alexandria database describes a geometry-optimized Pm2BiSe structure. The functional is PBE.

a b c (Å): 5.4065 5.4065 5.4065
angles (deg): 60.00 60.00 60.00
Sites, in units of the cell vectors:
Pm 0.2500 0.2500 0.2500
Pm 0.7500 0.7500 0.7500
Bi 0.0000 0.0000 0.0000
Se 0.5000 0.5000 0.5000

## Properties
Its density is 8.59 Mg/m³. As for the symmetry: Fm-3m, No. 225. The value obtained for the energy relative to the lowest polymorph listed for this composition is 286 meV/atom. The total magnetization is 0.098 μB/atom. The formation energy from raw total energies is -1.08 eV/atom.

Record 8
This record from the Alexandria database describes a geometry-optimized Pm3Bi2Se2 structure. The functional is PBE.

a b c (Å): 8.4046 8.4046 7.9387
angles (deg): 115.56 115.56 30.33
Sites, in units of the cell vectors:
Pm 0.0000 0.0000 0.0000
Pm 0.2758 0.2758 0.2467
Pm 0.7242 0.7242 0.7533
Bi 0.3689 0.3689 0.7030
Bi 0.6311 0.6311 0.2970
Se 0.1355 0.1355 0.8434
Se 0.8645 0.8645 0.1566

## Properties
Its density is 6.63 Mg/m³. As for the symmetry: C2/m, No. 12. The total magnetization is 0.000 μB/atom. The formation energy from raw total energies is -1.16 eV/atom.